Here is an optimized crystal structure of Fe2HO from Alexandria via LeMat-Bulk. Energies are from PBE+U.

a b c (Å): 4.500 4.500 5.504
angles (deg): 65.87 65.87 90.00
Element x y z (fractional)
Fe: 0.875 0.856 0.750
H: 0.500 0.500 0.000
O: 0.000 0.000 0.000
O: 0.750 0.250 0.500
Fe: 0.606 0.125 0.250
H: 0.250 0.750 0.500
Fe: 0.144 0.625 0.250
Fe: 0.375 0.394 0.750

Summary:
distance to the lowest polymorph of the same formula = 0.0450 eV per atom
space group = I-42d (122)